Entry from the Alexandria database: crystalline BaCo2Br at its relaxed geometry (PBE-GGA).

Cell lengths 3.9274, 3.9274, 6.3578 Å; angles 90.00, 90.00, 90.00 degrees
Last column: nearest neighbours and their distance in Å.
Space group P4/mmm (No. 123)
Symmetry-distinct sites (fractional):
1 Ba 0.0000 0.0000 0.0000 x1  2 Br 3.18, 8 Co 3.48
2 Co 0.5000 0.5000 0.3308 x2  1 Co 2.15
3 Br 0.0000 0.0000 0.5000 x1  8 Co 2.98, 2 Ba 3.18

For the energy above the most stable polymorph in this dataset, the calculation gives 703 meV per atom. The density of states at the Fermi level comes out at 6.26 states/eV/cell. The uncorrected formation energy is 2.679 eV/f.u.